(1)
! ZrAsRu, relaxed, DFT PBE; values from VASP
&SYSTEM
  ibrav = 0, nat = 3, ntyp = 3
/
ATOMIC_SPECIES
As 74.92 As.upf
Zr 91.22 Zr.upf
Ru 101.07 Ru.upf
ATOMIC_POSITIONS crystal
As 0.003 0.003 0.000
Zr 0.673 0.673 0.000
Ru 0.324 0.324 0.000
CELL_PARAMETERS angstrom
-3.834 -2.289 -1.878
0.898 -3.156 -3.564
1.308 0.969 4.563
! - Energy relative to the elements: -0.344 eV per atom
! - Magnetization: 0.0000 μB/atom
! - SG: Imm2
! - Density of states at the Fermi level: 2.0 states/eV/cell

(2)
! Dy2ZnAu3, relaxed, DFT PBE; values from VASP
&SYSTEM
  ibrav = 0, nat = 12, ntyp = 3
/
ATOMIC_SPECIES
Dy 162.50 Dy.upf
Zn 65.41 Zn.upf
Au 196.97 Au.upf
ATOMIC_POSITIONS crystal
Dy 0.753 0.753 0.000
Zn 0.667 0.667 0.334
Au 0.174 0.653 0.827
Zn 0.333 0.333 0.666
Dy 0.250 0.750 0.500
Au 0.829 0.829 0.657
Au 0.347 0.826 0.173
Au 0.171 0.171 0.343
Dy 0.750 0.250 0.500
Dy 0.247 0.247 0.000
Au 0.653 0.174 0.827
Au 0.826 0.347 0.173
CELL_PARAMETERS angstrom
-4.028 0.862 -4.056
-2.640 -0.029 5.143
4.423 7.511 0.060
! - Energy relative to the elements: -0.729 eV per atom
! - Magnetization: 0.0000 μB/atom
! - SG: Fmmm
! - Density of states at the Fermi level: 8.0 states/eV/cell